# 1
Material: NbRuS2Cl
Method: DFT, PBE-GGA
State: optimized geometry

The calculation puts the volume at 96.30 Å³/cell. As for the density of states at the Fermi level: 6.32 states/eV/cell. The formation energy without anion corrections is 635.4 meV/atom. Its distance to the lowest polymorph of the same formula is 0.244 eV/atom.

It has space group P4/mmm (No. 123), with a = 4.588 Å, b = 4.588 Å, c = 4.575 Å, α = 90.00°, β = 90.00° and γ = 90.00°. The distinct sites, in fractional coordinates, are Nb at (0.000, 0.000, 0.000), Ru at (0.500, 0.500, 0.500), S at (0.000, 0.500, 0.500) and Cl at (0.500, 0.500, 0.000).



# 2
Material: NbS3Cl
Method: DFT, PBE-GGA
State: optimized geometry

The calculation puts the volume at 94.30 Å³/cell. As for the density of states at the Fermi level: 2.89 states/eV/cell. The formation energy without anion corrections is 1060.6 meV/atom. Its distance to the lowest polymorph of the same formula is 1.789 eV/atom.

It has space group Pm-3m (No. 221), with a = 4.552 Å, b = 4.552 Å, c = 4.552 Å, α = 90.00°, β = 90.00° and γ = 90.00°. The distinct sites, in fractional coordinates, are Nb at (0.000, 0.000, 0.000), S at (0.000, 0.500, 0.500) and Cl at (0.500, 0.500, 0.500).



# 3
Material: NbSCl2
Method: DFT, PBE-GGA
State: optimized geometry

The calculation puts the volume at 441.12 Å³/cell. As for the density of states at the Fermi level: 6.73 states/eV/cell. The formation energy without anion corrections is -988.6 meV/atom. Its distance to the lowest polymorph of the same formula is 0.000 eV/atom.

It has space group C2/c (No. 15), with a = 14.004 Å, b = 4.881 Å, c = 6.631 Å, α = 90.00°, β = 103.30° and γ = 90.00°. The distinct sites, in fractional coordinates, are Nb at (0.000, 0.045, 0.250), S at (0.000, 0.499, 0.250) and Cl at (0.137, 0.000, 0.066).



# 4
Material: NbSCl2
Method: DFT, PBE-GGA
State: optimized geometry

The calculation puts the volume at 311.22 Å³/cell. As for the density of states at the Fermi level: 10.66 states/eV/cell. The formation energy without anion corrections is 198.6 meV/atom. Its distance to the lowest polymorph of the same formula is 1.187 eV/atom.

It has space group R-3m (No. 166, hexagonal axes), with a = 3.1746 Å, b = 3.1746 Å, c = 35.6583 Å, α = 90.00°, β = 90.00° and γ = 120.00°. The distinct sites, in fractional coordinates, are Nb at (0.0000, 0.0000, 0.0000), S at (0.0000, 0.0000, 0.5000) and Cl at (0.0000, 0.0000, 0.0636).



# 5
Material: NbS2Cl
Method: DFT, PBE-GGA
State: optimized geometry

The calculation puts the volume at 240.39 Å³/cell. As for the density of states at the Fermi level: 1.50 states/eV/cell. The formation energy without anion corrections is -653.9 meV/atom. Its distance to the lowest polymorph of the same formula is 0.236 eV/atom.

It has space group R-3m (No. 166, hexagonal axes), with a = 3.4347 Å, b = 3.4347 Å, c = 23.5293 Å, α = 90.00°, β = 90.00° and γ = 120.00°. The distinct sites, in fractional coordinates, are Nb at (0.0000, 0.0000, 0.0000), S at (0.0000, 0.0000, 0.3975) and Cl at (0.0000, 0.0000, 0.5000).



# 6
Material: NbSCl2
Method: DFT, PBE-GGA
State: optimized geometry

The calculation puts the volume at 268.16 Å³/cell. As for the density of states at the Fermi level: 8.97 states/eV/cell. The formation energy without anion corrections is -306.3 meV/atom. Its distance to the lowest polymorph of the same formula is 0.682 eV/atom.

It has space group R-3m (No. 166, hexagonal axes), with a = 3.0909 Å, b = 3.0909 Å, c = 32.4118 Å, α = 90.00°, β = 90.00° and γ = 120.00°. The distinct sites, in fractional coordinates, are Nb at (0.0000, 0.0000, 0.0000), S at (0.0000, 0.0000, 0.5000) and Cl at (0.0000, 0.0000, 0.3887).



# 7
Material: NbS2Cl6
Method: DFT, PBE-GGA
State: optimized geometry

The calculation puts the volume at 1029.56 Å³/cell. As for the density of states at the Fermi level: 16.72 states/eV/cell. The formation energy without anion corrections is -728.9 meV/atom.

It has space group R3 (No. 146, hexagonal axes), with a = 6.9542 Å, b = 6.9542 Å, c = 24.5824 Å, α = 90.00°, β = 90.00° and γ = 120.00°. The distinct sites, in fractional coordinates, are Nb at (0.0000, 0.0000, 0.0000), S at (0.0000, 0.0000, 0.7609), S at (0.0000, 0.0000, 0.8363), Cl at (0.0317, 0.6117, 0.7261) and Cl at (0.0775, 0.3652, 0.6138).



# 8
Material: NbS2Cl
Method: DFT, PBE-GGA
State: optimized geometry

The calculation puts the volume at 388.79 Å³/cell. The formation energy without anion corrections is -889.7 meV/atom. Its distance to the lowest polymorph of the same formula is 0.000 eV/atom.

It has space group Pnna (No. 52), with a = 6.247 Å, b = 5.946 Å, c = 10.466 Å, α = 90.00°, β = 90.00° and γ = 90.00°. The distinct sites, in fractional coordinates, are Nb at (0.250, 0.000, 0.061), S at (0.070, 0.231, 0.917) and Cl at (0.109, 0.250, 0.250).



# 9
Material: NbS3Cl
Method: DFT, PBE-GGA
State: optimized geometry

The calculation puts the volume at 449.62 Å³/cell. As for the density of states at the Fermi level: 7.54 states/eV/cell. The formation energy without anion corrections is -329.3 meV/atom. Its distance to the lowest polymorph of the same formula is 0.399 eV/atom.

It has space group I-4m2 (No. 119), with a = 4.796 Å, b = 4.796 Å, c = 19.551 Å, α = 90.00°, β = 90.00° and γ = 90.00°. The distinct sites, in fractional coordinates, are Nb at (0.000, 0.000, 0.000), Nb at (0.000, 0.500, 0.250), S at (0.000, 0.210, 0.136), S at (0.000, 0.500, 0.526) and Cl at (0.000, 0.000, 0.285).



# 10
Material: NbS2Cl
Method: DFT, PBE-GGA
State: optimized geometry

The calculation puts the volume at 429.67 Å³/cell. As for the density of states at the Fermi level: 0.26 states/eV/cell. The formation energy without anion corrections is -385.2 meV/atom. Its distance to the lowest polymorph of the same formula is 0.504 eV/atom.

It has space group I-42d (No. 122), with a = 6.577 Å, b = 6.577 Å, c = 9.933 Å, α = 90.00°, β = 90.00° and γ = 90.00°. The distinct sites, in fractional coordinates, are Nb at (0.000, 0.000, 0.000), S at (0.161, 0.250, 0.125) and Cl at (0.000, 0.000, 0.500).



# 11
Material: NbS3Cl
Method: DFT, PBE-GGA
State: optimized geometry

The calculation puts the volume at 110.99 Å³/cell. As for the density of states at the Fermi level: 3.58 states/eV/cell. The formation energy without anion corrections is -78.0 meV/atom. Its distance to the lowest polymorph of the same formula is 0.650 eV/atom.

It has space group Pm-3m (No. 221), with a = 4.806 Å, b = 4.806 Å, c = 4.806 Å, α = 90.00°, β = 90.00° and γ = 90.00°. The distinct sites, in fractional coordinates, are Nb at (0.000, 0.000, 0.000), S at (0.000, 0.000, 0.500) and Cl at (0.500, 0.500, 0.500).



# 12
Material: NbSCl2
Method: DFT, PBE-GGA
State: optimized geometry

The calculation puts the volume at 268.60 Å³/cell. As for the density of states at the Fermi level: 8.44 states/eV/cell. The formation energy without anion corrections is 205.5 meV/atom. Its distance to the lowest polymorph of the same formula is 1.194 eV/atom.

It has space group Fm-3m (No. 225), with a = 6.452 Å, b = 6.452 Å, c = 6.452 Å, α = 90.00°, β = 90.00° and γ = 90.00°. The distinct sites, in fractional coordinates, are Nb at (0.000, 0.000, 0.000), S at (0.000, 0.000, 0.500) and Cl at (0.250, 0.250, 0.250).



# 13
Material: NbS2Cl
Method: DFT, PBE-GGA
State: optimized geometry

The calculation puts the volume at 248.09 Å³/cell. As for the density of states at the Fermi level: 11.02 states/eV/cell. The formation energy without anion corrections is 594.6 meV/atom. Its distance to the lowest polymorph of the same formula is 1.484 eV/atom.

It has space group R-3m (No. 166, hexagonal axes), with a = 3.3216 Å, b = 3.3216 Å, c = 25.9643 Å, α = 90.00°, β = 90.00° and γ = 120.00°. The distinct sites, in fractional coordinates, are Nb at (0.0000, 0.0000, 0.0000), S at (0.0000, 0.0000, 0.0869) and Cl at (0.0000, 0.0000, 0.5000).



# 14
Material: Nb2SCl8
Method: DFT, PBE-GGA
State: optimized geometry

The calculation puts the volume at 952.32 Å³/cell. The formation energy without anion corrections is -1115.9 meV/atom.

It has space group C2/m (No. 12), with a = 15.780 Å, b = 8.705 Å, c = 7.227 Å, α = 90.00°, β = 106.40° and γ = 90.00°. The distinct sites, in fractional coordinates, are Nb at (0.133, 0.000, 0.244), S at (0.000, 0.000, 0.000), Cl at (0.131, 0.270, 0.245), Cl at (0.134, 0.000, 0.562) and Cl at (0.237, 0.500, 0.836).



# 15
Material: Nb2SCl
Method: DFT, PBE-GGA
State: optimized geometry

The calculation puts the volume at 246.35 Å³/cell. As for the density of states at the Fermi level: 17.67 states/eV/cell. The formation energy without anion corrections is -99.4 meV/atom.

It has space group Fm-3m (No. 225), with a = 6.269 Å, b = 6.269 Å, c = 6.269 Å, α = 90.00°, β = 90.00° and γ = 90.00°. The distinct sites, in fractional coordinates, are Nb at (0.250, 0.250, 0.250), S at (0.000, 0.000, 0.000) and Cl at (0.000, 0.000, 0.500).



# 16
Material: NbSCl2
Method: DFT, PBE-GGA
State: optimized geometry

The calculation puts the volume at 395.95 Å³/cell. As for the density of states at the Fermi level: 3.97 states/eV/cell. The formation energy without anion corrections is -749.8 meV/atom. Its distance to the lowest polymorph of the same formula is 0.239 eV/atom.

It has space group I-42d (No. 122), with a = 9.142 Å, b = 9.142 Å, c = 4.738 Å, α = 90.00°, β = 90.00° and γ = 90.00°. The distinct sites, in fractional coordinates, are Nb at (0.000, 0.000, 0.000), S at (0.000, 0.000, 0.500) and Cl at (0.105, 0.250, 0.125).



# 17
Material: NbS3Cl
Method: DFT, PBE-GGA
State: optimized geometry

The calculation puts the volume at 253.78 Å³/cell. The formation energy without anion corrections is -728.3 meV/atom. Its distance to the lowest polymorph of the same formula is 0.000 eV/atom.

It has space group P-1 (No. 2), with a = 3.450 Å, b = 7.095 Å, c = 10.756 Å, α = 77.01°, β = 84.56° and γ = 82.45°. The distinct sites, in fractional coordinates, are Nb at (0.242, 0.412, 0.179), S at (0.054, 0.306, 0.420), S at (0.163, 0.828, 0.700), S at (0.201, 0.682, 0.965) and Cl at (0.361, 0.338, 0.777).



# 18
Material: NbS2Cl
Method: DFT, PBE-GGA
State: optimized geometry

The calculation puts the volume at 262.29 Å³/cell. As for the density of states at the Fermi level: 10.86 states/eV/cell. The formation energy without anion corrections is 69.4 meV/atom. Its distance to the lowest polymorph of the same formula is 0.959 eV/atom.

It has space group Fm-3m (No. 225), with a = 6.401 Å, b = 6.401 Å, c = 6.401 Å, α = 90.00°, β = 90.00° and γ = 90.00°. The distinct sites, in fractional coordinates, are Nb at (0.000, 0.000, 0.000), S at (0.250, 0.250, 0.250) and Cl at (0.000, 0.000, 0.500).



# 19
Material: NbSbSCl2
Method: DFT, PBE-GGA
State: optimized geometry

The calculation puts the volume at 121.79 Å³/cell. As for the density of states at the Fermi level: 4.38 states/eV/cell. The formation energy without anion corrections is -165.0 meV/atom. Its distance to the lowest polymorph of the same formula is 0.000 eV/atom.

It has space group P4/mmm (No. 123), with a = 4.981 Å, b = 4.981 Å, c = 4.910 Å, α = 90.00°, β = 90.00° and γ = 90.00°. The distinct sites, in fractional coordinates, are Nb at (0.000, 0.000, 0.000), Sb at (0.500, 0.500, 0.500), S at (0.000, 0.000, 0.500) and Cl at (0.000, 0.500, 0.000).



# 20
Material: NbSbSCl2
Method: DFT, PBE-GGA
State: optimized geometry

The calculation puts the volume at 143.78 Å³/cell. As for the density of states at the Fermi level: 7.46 states/eV/cell. The formation energy without anion corrections is 576.4 meV/atom. Its distance to the lowest polymorph of the same formula is 0.741 eV/atom.

It has space group P4/mmm (No. 123), with a = 5.213 Å, b = 5.213 Å, c = 5.291 Å, α = 90.00°, β = 90.00° and γ = 90.00°. The distinct sites, in fractional coordinates, are Nb at (0.000, 0.000, 0.000), Sb at (0.500, 0.500, 0.500), S at (0.500, 0.500, 0.000) and Cl at (0.000, 0.500, 0.500).